No. 1
{
  "formula": "Na8SnHg2",
  "functional": "PBE",
  "state": "relaxed",
  "lattice_angstrom": [[-4.032, -3.491, 1.201], [4.235, -5.683, -2.283], [2.845, 3.749, 8.126]],
  "species": ["Na", "Na", "Na", "Na", "Na", "Na", "Na", "Na", "Sn", "Hg", "Hg"],
  "frac_coords": [[0.636, 0.220, 0.910], [0.971, 0.016, 0.579], [0.303, 0.347, 0.240], [0.740, 0.959, 0.117], [0.329, 0.867, 0.295], [0.944, 0.479, 0.523], [0.136, 0.515, 0.909], [0.531, 0.752, 0.698], [0.136, 0.950, 0.909], [0.799, 0.610, 0.234], [0.475, 0.286, 0.586]],
  "magmom_total_mub_per_fu": 0.00,
  "delta_e_f_ev_per_atom": -0.144,
  "volume_a3_per_cell": 333,
  "dos_at_fermi_per_ev_atom": 0.41,
  "relative_energy_mev_per_atom": 6.2
}


No. 2
{
  "formula": "LiLaAlPd3",
  "functional": "PBE",
  "state": "relaxed",
  "lattice_angstrom": [[6.501, 0.000, 0.000], [0.000, 5.877, 0.000], [0.000, -2.938, 5.915]],
  "species": ["Li", "Li", "La", "La", "Al", "Al", "Pd", "Pd", "Pd", "Pd", "Pd", "Pd"],
  "frac_coords": [[0.250, 0.925, 0.849], [0.750, 0.075, 0.151], [0.750, 0.316, 0.633], [0.250, 0.684, 0.367], [0.250, 0.381, 0.763], [0.750, 0.619, 0.237], [0.250, 0.169, 0.338], [0.000, 0.258, 0.000], [0.500, 0.742, 0.000], [0.500, 0.258, 0.000], [0.000, 0.742, 0.000], [0.750, 0.831, 0.662]],
  "magmom_total_mub_per_fu": 0.00,
  "delta_e_f_ev_per_atom": -0.612,
  "volume_a3_per_cell": 226,
  "dos_at_fermi_per_ev_atom": 0.58
}


No. 3
{
  "formula": "K2Ge2Se5",
  "functional": "PBE",
  "state": "relaxed",
  "lattice_angstrom": [[4.963, 0.000, 0.000], [-2.481, 6.543, -0.431], [0.000, -1.491, 8.921]],
  "species": ["K", "K", "Ge", "Ge", "Se", "Se", "Se", "Se", "Se"],
  "frac_coords": [[0.407, 0.814, 0.653], [0.593, 0.186, 0.347], [0.166, 0.332, 0.883], [0.834, 0.668, 0.117], [0.359, 0.717, 0.025], [0.641, 0.283, 0.975], [0.131, 0.263, 0.621], [0.869, 0.737, 0.379], [0.000, 0.000, 0.000]],
  "magmom_total_mub_per_fu": 0.00,
  "volume_a3_per_cell": 286,
  "dos_at_fermi_per_ev_atom": 0.25,
  "relative_energy_mev_per_atom": 215.5,
  "formation_energy_uncorrected_mev_per_atom": -489
}


No. 4
{
  "formula": "Pr2Ge3Rh",
  "functional": "PBE",
  "state": "relaxed",
  "lattice_angstrom": [[5.999, 0.625, 0.000], [-0.553, 6.006, 0.000], [-2.723, -3.315, 7.413]],
  "species": ["Pr", "Pr", "Pr", "Pr", "Ge", "Ge", "Ge", "Ge", "Ge", "Ge", "Rh", "Rh"],
  "frac_coords": [[0.750, 0.250, 0.500], [0.749, 0.251, 0.000], [0.250, 0.750, 0.500], [0.251, 0.749, 0.000], [0.831, 0.831, 0.169], [0.662, 0.662, 0.831], [0.169, 0.169, 0.831], [0.338, 0.338, 0.169], [0.169, 0.169, 0.337], [0.831, 0.831, 0.663], [0.667, 0.667, 0.333], [0.333, 0.333, 0.667]],
  "magmom_total_mub_per_fu": 0.00,
  "delta_e_f_ev_per_atom": -0.834,
  "volume_a3_per_cell": 270,
  "dos_at_fermi_per_ev_atom": 0.35
}